Record 1
VASP calculation (PBE) on crystalline MgBiW2C at its relaxed geometry.

Values from the calculation:
The symmetry is P4/mmm, No. 123. Its crystal system is tetragonal. The value obtained for the total magnetization is 3.6 μB/f.u. The value obtained for the density of states at the Fermi level is 5.19 states/eV/cell. For the calculated volume, the calculation gives 123.2 Å³/cell. The calculation puts the formation energy at 3085 meV/atom.

```
MgBiW2C
1.0
5.244 0.000 0.000
0.000 4.480 0.000
0.000 0.000 5.244
C Mg Bi W
1 1 1 2
Cartesian
0.000 2.240 0.000
2.622 2.240 2.622
0.000 0.000 0.000
0.000 0.000 2.622
2.622 0.000 0.000
```

Record 2
VASP calculation (PBE) on crystalline ScIBr3 at its relaxed geometry.

Values from the calculation:
As for the energy above the lowest structure with this stoichiometry: 307 meV/atom. The symmetry is Amm2, No. 38. Its crystal system is orthorhombic. The value obtained for the total magnetization is 0.4 μB/f.u. The value obtained for the density of states at the Fermi level is 6.07 states/eV/cell. For the calculated volume, the calculation gives 232.5 Å³/cell. The value obtained for the uncorrected formation energy is -497 kJ/mol of formula units.

```
ScIBr3
1.0
-3.554 -0.843 0.921
2.367 -7.472 2.295
0.316 5.374 6.142
I Sc Br
1 1 3
Cartesian
1.646 -2.954 3.648
-1.438 4.806 6.558
-1.362 0.239 2.668
0.132 -0.929 7.364
0.611 3.529 5.589
```

Record 3
VASP calculation (PBE) on crystalline Tc2PW at its relaxed geometry.

Values from the calculation:
The symmetry is I4/mmm, No. 139. Its crystal system is tetragonal. The value obtained for the total magnetization is 0.0 μB/f.u. The value obtained for the density of states at the Fermi level is 4.18 states/eV/cell. For the calculated volume, the calculation gives 57.1 Å³/cell. The calculation puts the formation energy at 140 meV/atom.

```
Tc2PW
1.0
-1.867 1.867 4.094
1.867 -1.867 4.094
1.867 1.867 -4.094
Tc P W
2 1 1
Cartesian
0.000 1.867 2.047
1.867 0.000 2.047
0.000 0.000 0.000
0.000 0.000 4.094
```

Record 4
VASP calculation (PBE) on crystalline GaTe2AsSe at its relaxed geometry.

Values from the calculation:
The symmetry is P4/mmm, No. 123. Its crystal system is tetragonal. The value obtained for the total magnetization is 0.0 μB/f.u. The value obtained for the density of states at the Fermi level is 6.50 states/eV/cell. For the calculated volume, the calculation gives 139.8 Å³/cell. The value obtained for the uncorrected formation energy is 273 kJ/mol of formula units.

```
GaTe2AsSe
1.0
5.397 0.000 0.000
0.000 4.801 0.000
0.000 0.000 5.397
As Te Ga Se
1 2 1 1
Cartesian
2.698 2.400 2.698
0.000 0.000 2.698
2.698 0.000 0.000
0.000 0.000 0.000
0.000 2.400 0.000
```

Record 5
VASP calculation (PBE) on crystalline HfRhN3 at its relaxed geometry.

Values from the calculation:
The symmetry is Pm-3m, No. 221. Its crystal system is cubic. The value obtained for the total magnetization is 0.0 μB/f.u. The value obtained for the density of states at the Fermi level is 5.70 states/eV/cell. For the calculated volume, the calculation gives 69.4 Å³/cell. The value obtained for the uncorrected formation energy is 518 kJ/mol of formula units.

```
HfRhN3
1.0
-1.421 -3.743 0.925
1.742 0.256 3.713
-3.439 1.676 1.499
Rh Hf N
1 1 3
Cartesian
-1.559 -0.906 3.068
0.000 0.000 0.000
0.871 0.128 1.856
-1.720 0.838 0.749
-0.711 -1.871 0.462
```

Record 6
VASP calculation (PBE) on crystalline PmErAgSb at its relaxed geometry.

Values from the calculation:
The symmetry is F-43m, No. 216. Its crystal system is cubic. The value obtained for the total magnetization is 0.3 μB/f.u. The value obtained for the density of states at the Fermi level is 4.97 states/eV/cell. For the calculated volume, the calculation gives 103.3 Å³/cell. The value obtained for the uncorrected formation energy is -209 kJ/mol of formula units.

```
PmErAgSb
1.0
-4.332 -2.982 0.281
0.137 -5.004 -1.636
-0.273 -3.924 3.502
Sb Pm Ag Er
1 1 1 1
Cartesian
-1.117 -2.977 0.537
0.000 0.000 0.000
-3.352 -8.932 1.611
-2.235 -5.955 1.074
```

| no. | calculated density (g cm⁻³) |
| --- | --- |
| 1 | 8.3 |
| 2 | 2.9 |
| 3 | 11.9 |
| 4 | 5.7 |
| 5 | 7.7 |
| 6 | 8.7 |